[1]
{"formula": "TbPmBr2", "functional": "PBE", "state": "relaxed", "e_above_lowest_polymorph_ev_per_atom": 0.112, "rho_g_cm3": 7.22, "dos_ef_per_ev_fu": 1.66, "e_tot_ev_per_atom": -4.244, "formation_energy_uncorrected_kj_per_mol_atoms": -102.5, "spacegroup": "R3m (160)", "total_magnetization_mub_per_cell": 0.0, "cell": [[3.637, 0.000, 0.000], [-1.819, 3.150, 0.000], [0.000, 0.000, 27.911]], "species": ["Tb", "Tb", "Tb", "Pm", "Pm", "Pm", "Br", "Br", "Br", "Br", "Br", "Br"], "fractional_positions": [[0.000, 0.000, 0.000], [0.333, 0.667, 0.667], [0.667, 0.333, 0.333], [0.000, 0.000, 0.164], [0.333, 0.667, 0.830], [0.667, 0.333, 0.497], [0.000, 0.000, 0.415], [0.000, 0.000, 0.583], [0.333, 0.667, 0.081], [0.333, 0.667, 0.249], [0.667, 0.333, 0.748], [0.667, 0.333, 0.916]]}

***

[2]
{"formula": "TbPm2Br5", "functional": "PBE", "state": "relaxed", "rho_g_cm3": 4.75, "dos_ef_per_ev_fu": 4.92, "e_tot_ev_per_atom": -4.066, "formation_energy_uncorrected_kj_per_mol_atoms": -121.0, "spacegroup": "Pnnm (58)", "total_magnetization_mub_per_cell": 8.4, "cell": [[12.827, 0.000, 0.000], [0.000, 13.059, 0.000], [0.000, 0.000, 7.086]], "species": ["Tb", "Tb", "Tb", "Tb", "Pm", "Pm", "Pm", "Pm", "Pm", "Pm", "Pm", "Pm", "Br", "Br", "Br", "Br", "Br", "Br", "Br", "Br", "Br", "Br", "Br", "Br", "Br", "Br", "Br", "Br", "Br", "Br", "Br", "Br"], "fractional_positions": [[0.212, 0.198, 0.000], [0.288, 0.698, 0.500], [0.712, 0.302, 0.500], [0.788, 0.802, 0.000], [0.000, 0.500, 0.247], [0.000, 0.500, 0.753], [0.103, 0.099, 0.500], [0.397, 0.599, 0.000], [0.500, 0.000, 0.253], [0.500, 0.000, 0.747], [0.603, 0.401, 0.000], [0.897, 0.901, 0.500], [0.065, 0.280, 0.253], [0.065, 0.280, 0.747], [0.142, 0.869, 0.500], [0.163, 0.595, 0.000], [0.189, 0.508, 0.500], [0.311, 0.008, 0.000], [0.337, 0.095, 0.500], [0.358, 0.369, 0.000], [0.435, 0.780, 0.247], [0.435, 0.780, 0.753], [0.565, 0.220, 0.247], [0.565, 0.220, 0.753], [0.642, 0.631, 0.000], [0.663, 0.905, 0.500], [0.689, 0.992, 0.000], [0.811, 0.492, 0.500], [0.837, 0.405, 0.000], [0.858, 0.131, 0.500], [0.935, 0.720, 0.253], [0.935, 0.720, 0.747]]}

***

[3]
{"formula": "Tb2PmBr", "functional": "PBE", "state": "relaxed", "rho_g_cm3": 7.34, "dos_ef_per_ev_fu": 7.32, "e_tot_ev_per_atom": -4.174, "formation_energy_uncorrected_kj_per_mol_atoms": -24.4, "spacegroup": "R-3m (166)", "total_magnetization_mub_per_cell": 0.0, "cell": [[3.506, 0.000, 0.000], [-1.753, 3.036, 0.000], [0.000, 0.000, 34.594]], "species": ["Tb", "Tb", "Tb", "Tb", "Tb", "Tb", "Pm", "Pm", "Pm", "Br", "Br", "Br"], "fractional_positions": [[0.000, 0.000, 0.098], [0.000, 0.000, 0.902], [0.333, 0.667, 0.568], [0.333, 0.667, 0.765], [0.667, 0.333, 0.235], [0.667, 0.333, 0.432], [0.000, 0.000, 0.000], [0.333, 0.667, 0.667], [0.667, 0.333, 0.333], [0.000, 0.000, 0.500], [0.333, 0.667, 0.167], [0.667, 0.333, 0.833]]}

***

[4]
{"formula": "PmTcBr", "functional": "PBE", "state": "relaxed", "rho_g_cm3": 6.13, "dos_ef_per_ev_fu": 1.64, "e_tot_ev_per_atom": -6.497, "formation_energy_uncorrected_kj_per_mol_atoms": -86.9, "spacegroup": "R-3m (166)", "total_magnetization_mub_per_cell": 0.0, "cell": [[2.057, 1.187, 11.944], [-2.057, 1.187, 11.944], [0.000, -2.375, 11.944]], "species": ["Pm", "Pm", "Tc", "Tc", "Br", "Br"], "fractional_positions": [[0.062, 0.062, 0.062], [0.938, 0.938, 0.938], [0.339, 0.339, 0.339], [0.661, 0.661, 0.661], [0.218, 0.218, 0.218], [0.782, 0.782, 0.782]]}

***

[5]
{"formula": "Pm2TcBr", "functional": "PBE", "state": "relaxed", "e_above_lowest_polymorph_ev_per_atom": 0.738, "rho_g_cm3": 7.44, "dos_ef_per_ev_fu": 2.83, "e_tot_ev_per_atom": -5.213, "formation_energy_uncorrected_kj_per_mol_atoms": 16.6, "spacegroup": "R-3m (166)", "total_magnetization_mub_per_cell": 0.0, "cell": [[3.504, 0.000, 0.000], [-1.752, 3.035, 0.000], [0.000, 0.000, 29.456]], "species": ["Pm", "Pm", "Pm", "Pm", "Pm", "Pm", "Tc", "Tc", "Tc", "Br", "Br", "Br"], "fractional_positions": [[0.000, 0.000, 0.085], [0.000, 0.000, 0.915], [0.333, 0.667, 0.581], [0.333, 0.667, 0.752], [0.667, 0.333, 0.248], [0.667, 0.333, 0.419], [0.000, 0.000, 0.000], [0.333, 0.667, 0.667], [0.667, 0.333, 0.333], [0.000, 0.000, 0.500], [0.333, 0.667, 0.167], [0.667, 0.333, 0.833]]}

***

[6]
{"formula": "Pm2TcBr", "functional": "PBE", "state": "relaxed", "e_above_lowest_polymorph_ev_per_atom": 0.000, "rho_g_cm3": 7.72, "dos_ef_per_ev_fu": 2.34, "e_tot_ev_per_atom": -5.950, "formation_energy_uncorrected_kj_per_mol_atoms": -54.5, "spacegroup": "P4/mmm (123)", "total_magnetization_mub_per_cell": 0.0, "cell": [[3.519, 0.000, 0.000], [0.000, 3.519, 0.000], [0.000, 0.000, 8.133]], "species": ["Pm", "Pm", "Tc", "Br"], "fractional_positions": [[0.000, 0.000, 0.208], [0.000, 0.000, 0.792], [0.500, 0.500, 0.000], [0.500, 0.500, 0.500]]}

***

[7]
{"formula": "Pm7TcBr12", "functional": "PBE", "state": "relaxed", "rho_g_cm3": 4.74, "dos_ef_per_ev_fu": 7.71, "e_tot_ev_per_atom": -4.730, "formation_energy_uncorrected_kj_per_mol_atoms": -149.1, "spacegroup": "R-3 (148)", "total_magnetization_mub_per_cell": 2.1, "cell": [[7.660, 4.423, 3.572], [-7.660, 4.423, 3.572], [0.000, -8.845, 3.572]], "species": ["Pm", "Pm", "Pm", "Pm", "Pm", "Pm", "Pm", "Tc", "Br", "Br", "Br", "Br", "Br", "Br", "Br", "Br", "Br", "Br", "Br", "Br"], "fractional_positions": [[0.000, 0.000, 0.000], [0.191, 0.399, 0.480], [0.399, 0.480, 0.191], [0.480, 0.191, 0.399], [0.520, 0.809, 0.601], [0.601, 0.520, 0.809], [0.809, 0.601, 0.520], [0.500, 0.500, 0.500], [0.040, 0.332, 0.120], [0.120, 0.040, 0.332], [0.182, 0.720, 0.575], [0.280, 0.425, 0.818], [0.332, 0.120, 0.040], [0.425, 0.818, 0.280], [0.575, 0.182, 0.720], [0.668, 0.880, 0.960], [0.720, 0.575, 0.182], [0.818, 0.280, 0.425], [0.880, 0.960, 0.668], [0.960, 0.668, 0.880]]}

***

[8]
{"formula": "Pm4TcBr5", "functional": "PBE", "state": "relaxed", "rho_g_cm3": 5.34, "dos_ef_per_ev_fu": 4.15, "e_tot_ev_per_atom": -5.060, "formation_energy_uncorrected_kj_per_mol_atoms": -124.2, "spacegroup": "C2/m (12)", "total_magnetization_mub_per_cell": 0.0, "cell": [[9.353, -1.963, 0.000], [9.353, 1.963, 0.000], [-2.540, 0.000, 9.119]], "species": ["Pm", "Pm", "Pm", "Pm", "Tc", "Br", "Br", "Br", "Br", "Br"], "fractional_positions": [[0.003, 0.003, 0.238], [0.356, 0.356, 0.924], [0.644, 0.644, 0.076], [0.997, 0.997, 0.762], [0.500, 0.500, 0.000], [0.169, 0.169, 0.324], [0.169, 0.169, 0.849], [0.500, 0.500, 0.500], [0.831, 0.831, 0.151], [0.831, 0.831, 0.676]]}

***

[9]
{"formula": "PmTcBr", "functional": "PBE", "state": "relaxed", "rho_g_cm3": 6.07, "dos_ef_per_ev_fu": 1.64, "e_tot_ev_per_atom": -6.498, "formation_energy_uncorrected_kj_per_mol_atoms": -86.9, "spacegroup": "C2/m (12)", "total_magnetization_mub_per_cell": 0.0, "cell": [[7.124, 0.000, 0.000], [0.000, 4.114, 0.000], [-0.318, 0.000, 12.054]], "species": ["Pm", "Pm", "Pm", "Pm", "Tc", "Tc", "Tc", "Tc", "Br", "Br", "Br", "Br"], "fractional_positions": [[0.008, 0.000, 0.186], [0.492, 0.500, 0.814], [0.508, 0.500, 0.186], [0.992, 0.000, 0.814], [0.166, 0.500, 0.983], [0.334, 0.000, 0.017], [0.666, 0.000, 0.983], [0.834, 0.500, 0.017], [0.182, 0.500, 0.344], [0.318, 0.000, 0.656], [0.682, 0.000, 0.344], [0.818, 0.500, 0.656]]}

***

[10]
{"formula": "PmThTcBr", "functional": "PBE", "state": "relaxed", "rho_g_cm3": 7.98, "dos_ef_per_ev_fu": 2.85, "e_tot_ev_per_atom": -6.586, "formation_energy_uncorrected_kj_per_mol_atoms": -51.5, "spacegroup": "R3m (160)", "total_magnetization_mub_per_cell": 0.0, "cell": [[4.135, 0.000, 0.000], [-2.068, 3.581, 0.000], [0.000, 0.000, 23.384]], "species": ["Pm", "Pm", "Pm", "Th", "Th", "Th", "Tc", "Tc", "Tc", "Br", "Br", "Br"], "fractional_positions": [[0.000, 0.000, 0.000], [0.333, 0.667, 0.667], [0.667, 0.333, 0.333], [0.000, 0.000, 0.207], [0.333, 0.667, 0.874], [0.667, 0.333, 0.540], [0.000, 0.000, 0.591], [0.333, 0.667, 0.258], [0.667, 0.333, 0.924], [0.000, 0.000, 0.764], [0.333, 0.667, 0.431], [0.667, 0.333, 0.098]]}

***

[11]
{"formula": "Pm6ZnTc2Br3", "functional": "PBE", "state": "relaxed", "rho_g_cm3": 6.71, "dos_ef_per_ev_fu": 5.29, "e_tot_ev_per_atom": -5.216, "formation_energy_uncorrected_kj_per_mol_atoms": -56.8, "spacegroup": "C2/m (12)", "total_magnetization_mub_per_cell": 0.0, "cell": [[3.421, -6.127, 0.000], [3.421, 6.127, 0.000], [-2.377, 0.000, 8.092]], "species": ["Pm", "Pm", "Pm", "Pm", "Pm", "Pm", "Zn", "Tc", "Tc", "Br", "Br", "Br"], "fractional_positions": [[0.083, 0.431, 0.782], [0.197, 0.197, 0.191], [0.431, 0.083, 0.782], [0.569, 0.917, 0.218], [0.803, 0.803, 0.809], [0.917, 0.569, 0.218], [0.500, 0.500, 0.000], [0.179, 0.821, 0.000], [0.821, 0.179, 0.000], [0.000, 0.000, 0.500], [0.333, 0.667, 0.500], [0.667, 0.333, 0.500]]}

***

[12]
{"formula": "PmTeBr", "functional": "PBE", "state": "relaxed", "e_above_lowest_polymorph_ev_per_atom": 0.096, "rho_g_cm3": 5.15, "e_tot_ev_per_atom": -4.715, "formation_energy_uncorrected_kj_per_mol_atoms": -147.3, "spacegroup": "Pmma (51)", "total_magnetization_mub_per_cell": 0.0, "cell": [[6.283, 0.000, 0.000], [0.000, 5.754, 0.000], [0.000, 0.000, 6.285]], "species": ["Pm", "Pm", "Te", "Te", "Br", "Br"], "fractional_positions": [[0.250, 0.000, 0.250], [0.750, 0.000, 0.750], [0.250, 0.000, 0.750], [0.750, 0.000, 0.250], [0.250, 0.500, 0.249], [0.750, 0.500, 0.751]]}

***

[13]
{"formula": "Pm2TeBr2", "functional": "PBE", "state": "relaxed", "rho_g_cm3": 5.46, "dos_ef_per_ev_fu": 2.54, "e_tot_ev_per_atom": -4.760, "formation_energy_uncorrected_kj_per_mol_atoms": -150.7, "spacegroup": "C2/m (12)", "total_magnetization_mub_per_cell": 0.0, "cell": [[7.492, 0.000, 0.000], [0.000, 4.324, 0.000], [-0.114, 0.000, 10.835]], "species": ["Pm", "Pm", "Pm", "Pm", "Te", "Te", "Br", "Br", "Br", "Br"], "fractional_positions": [[0.169, 0.000, 0.164], [0.331, 0.500, 0.836], [0.669, 0.500, 0.164], [0.831, 0.000, 0.836], [0.000, 0.500, 0.000], [0.500, 0.000, 0.000], [0.162, 0.000, 0.674], [0.338, 0.500, 0.326], [0.662, 0.500, 0.674], [0.838, 0.000, 0.326]]}

***

[14]
{"formula": "PmTeBr", "functional": "PBE", "state": "relaxed", "e_above_lowest_polymorph_ev_per_atom": 0.034, "rho_g_cm3": 5.37, "dos_ef_per_ev_fu": 0.02, "e_tot_ev_per_atom": -4.776, "formation_energy_uncorrected_kj_per_mol_atoms": -153.2, "spacegroup": "I-4m2 (119)", "total_magnetization_mub_per_cell": 0.0, "cell": [[4.266, 0.000, 0.000], [0.000, 4.266, 0.000], [0.000, 0.000, 23.945]], "species": ["Pm", "Pm", "Pm", "Pm", "Te", "Te", "Te", "Te", "Br", "Br", "Br", "Br"], "fractional_positions": [[0.000, 0.000, 0.158], [0.000, 0.000, 0.842], [0.500, 0.500, 0.342], [0.500, 0.500, 0.658], [0.000, 0.000, 0.296], [0.000, 0.000, 0.704], [0.500, 0.500, 0.204], [0.500, 0.500, 0.796], [0.000, 0.500, 0.072], [0.000, 0.500, 0.428], [0.500, 0.000, 0.572], [0.500, 0.000, 0.928]]}

***

[15]
{"formula": "Pm2TeBr", "functional": "PBE", "state": "relaxed", "e_above_lowest_polymorph_ev_per_atom": 0.031, "rho_g_cm3": 7.65, "dos_ef_per_ev_fu": 2.70, "e_tot_ev_per_atom": -4.758, "formation_energy_uncorrected_kj_per_mol_atoms": -113.7, "spacegroup": "P4/mmm (123)", "total_magnetization_mub_per_cell": 0.0, "cell": [[3.793, 0.000, 0.000], [0.000, 3.793, 0.000], [0.000, 0.000, 7.502]], "species": ["Pm", "Pm", "Te", "Br"], "fractional_positions": [[0.000, 0.000, 0.243], [0.000, 0.000, 0.757], [0.500, 0.500, 0.000], [0.500, 0.500, 0.500]]}

***

[16]
{"formula": "PmTeBr", "functional": "PBE", "state": "relaxed", "e_above_lowest_polymorph_ev_per_atom": 0.000, "rho_g_cm3": 4.71, "dos_ef_per_ev_fu": 0.00, "e_tot_ev_per_atom": -4.811, "formation_energy_uncorrected_kj_per_mol_atoms": -156.5, "spacegroup": "Pmmn (59)", "total_magnetization_mub_per_cell": 0.0, "cell": [[4.392, 0.000, 0.000], [0.000, 6.257, 0.000], [0.000, 0.000, 9.038]], "species": ["Pm", "Pm", "Te", "Te", "Br", "Br"], "fractional_positions": [[0.250, 0.250, 0.140], [0.750, 0.750, 0.860], [0.250, 0.750, 0.114], [0.750, 0.250, 0.886], [0.250, 0.750, 0.650], [0.750, 0.250, 0.350]]}

***

[17]
{"formula": "Pm4Te3Br", "functional": "PBE", "state": "relaxed", "e_above_lowest_polymorph_ev_per_atom": 0.000, "rho_g_cm3": 7.11, "dos_ef_per_ev_fu": 3.32, "e_tot_ev_per_atom": -5.097, "formation_energy_uncorrected_kj_per_mol_atoms": -128.7, "spacegroup": "Pmmn (59)", "total_magnetization_mub_per_cell": 0.0, "cell": [[6.076, 0.000, 0.000], [0.000, 12.142, 0.000], [0.000, 0.000, 6.600]], "species": ["Pm", "Pm", "Pm", "Pm", "Pm", "Pm", "Pm", "Pm", "Te", "Te", "Te", "Te", "Te", "Te", "Br", "Br"], "fractional_positions": [[0.250, 0.001, 0.183], [0.250, 0.250, 0.809], [0.250, 0.499, 0.183], [0.250, 0.750, 0.832], [0.750, 0.250, 0.168], [0.750, 0.501, 0.817], [0.750, 0.750, 0.191], [0.750, 0.999, 0.817], [0.250, 0.250, 0.297], [0.250, 0.502, 0.698], [0.250, 0.998, 0.698], [0.750, 0.002, 0.302], [0.750, 0.498, 0.302], [0.750, 0.750, 0.703], [0.250, 0.750, 0.293], [0.750, 0.250, 0.707]]}

***

[18]
{"formula": "Pm3Te2Br2", "functional": "PBE", "state": "relaxed", "rho_g_cm3": 6.40, "dos_ef_per_ev_fu": 4.28, "e_tot_ev_per_atom": -4.748, "formation_energy_uncorrected_kj_per_mol_atoms": -128.9, "spacegroup": "P-1 (2)", "total_magnetization_mub_per_cell": 0.0, "cell": [[4.306, 0.000, 0.000], [0.002, 7.302, 0.000], [2.144, 1.143, 7.016]], "species": ["Pm", "Pm", "Pm", "Te", "Te", "Br", "Br"], "fractional_positions": [[0.000, 0.000, 0.000], [0.259, 0.768, 0.483], [0.741, 0.232, 0.517], [0.119, 0.390, 0.763], [0.881, 0.610, 0.237], [0.385, 0.152, 0.229], [0.615, 0.848, 0.771]]}

***

[19]
{"formula": "Pm4Te3Br", "functional": "PBE", "state": "relaxed", "e_above_lowest_polymorph_ev_per_atom": 0.038, "rho_g_cm3": 7.13, "dos_ef_per_ev_fu": 4.06, "e_tot_ev_per_atom": -5.059, "formation_energy_uncorrected_kj_per_mol_atoms": -125.1, "spacegroup": "R-3m (166)", "total_magnetization_mub_per_cell": 0.0, "cell": [[2.239, 1.293, 13.989], [-2.239, 1.293, 13.989], [0.000, -2.585, 13.989]], "species": ["Pm", "Pm", "Pm", "Pm", "Te", "Te", "Te", "Br"], "fractional_positions": [[0.125, 0.125, 0.125], [0.371, 0.371, 0.371], [0.629, 0.629, 0.629], [0.875, 0.875, 0.875], [0.253, 0.253, 0.253], [0.500, 0.500, 0.500], [0.747, 0.747, 0.747], [0.000, 0.000, 0.000]]}

***

[20]
{"formula": "Pm3Te2Br", "functional": "PBE", "state": "relaxed", "e_above_lowest_polymorph_ev_per_atom": 0.000, "rho_g_cm3": 6.97, "dos_ef_per_ev_fu": 4.22, "e_tot_ev_per_atom": -4.944, "formation_energy_uncorrected_kj_per_mol_atoms": -119.9, "spacegroup": "P6_3/mmc (194)", "total_magnetization_mub_per_cell": 0.0, "cell": [[4.258, 0.000, 0.000], [-2.129, 3.687, 0.000], [0.000, 0.000, 23.355]], "species": ["Pm", "Pm", "Pm", "Pm", "Pm", "Pm", "Te", "Te", "Te", "Te", "Br", "Br"], "fractional_positions": [[0.000, 0.000, 0.000], [0.000, 0.000, 0.500], [0.333, 0.667, 0.162], [0.333, 0.667, 0.338], [0.667, 0.333, 0.662], [0.667, 0.333, 0.838], [0.333, 0.667, 0.583], [0.333, 0.667, 0.917], [0.667, 0.333, 0.083], [0.667, 0.333, 0.417], [0.000, 0.000, 0.250], [0.000, 0.000, 0.750]]}